# 1
Material: BaIBr3
Method: DFT, GGA-PBE
State: optimized geometry

Cell lengths 8.0684, 8.9610, 12.1934 Å; angles 90.00, 113.44, 90.00 degrees
Space group P2_1/c (No. 14)
Inequivalent atoms, fractional coordinates:
Ba  0.1350  0.1506  0.1984 x4
I  0.3447  0.6820  0.3589 x4
Br  0.0879  0.1583  0.9197 x4
Br  0.1837  0.5797  0.9261 x4
Br  0.4801  0.0501  0.7793 x4

Properties
- formation energy without anion corrections (kJ per mole of atoms) = -125
- E_tot (eV per atom) = -2.994
- polymorph energy (0 for the lowest one) (eV per atom) = 0.000

# 2
Material: ScCoRh2
Method: DFT, GGA-PBE
State: optimized geometry

Cell lengths 3.2175, 3.2175, 5.8323 Å; angles 90.00, 90.00, 90.00 degrees
Space group P4mm (No. 99)
Inequivalent atoms, fractional coordinates:
Sc  0.0000  0.0000  0.0000 x1
Co  0.5000  0.5000  0.2869 x1
Rh  0.0000  0.0000  0.4666 x1
Rh  0.5000  0.5000  0.7523 x1

Properties
- formation enthalpy at 0 K (eV per atom) = -0.233
- E_tot (eV per atom) = -7.268

# 3
Material: ReNi4W
Method: DFT, GGA-PBE
State: optimized geometry

Cell lengths 6.6169, 6.6169, 6.6169 Å; angles 90.00, 90.00, 90.00 degrees
Space group F-43m (No. 216)
Inequivalent atoms, fractional coordinates:
Re  0.0000  0.0000  0.0000 x4
Ni  0.1252  0.1252  0.3748 x16
W  0.2500  0.2500  0.7500 x4

Properties
- formation enthalpy at 0 K (eV per atom) = -0.009
- E_tot (eV per atom) = -8.097

# 4
Material: CeTlPd6
Method: DFT, GGA-PBE
State: optimized geometry

Cell lengths 7.2750, 7.2750, 10.7355 Å; angles 90.00, 90.00, 120.00 degrees
Space group R-3m (No. 166, hexagonal axes)
Inequivalent atoms, fractional coordinates:
Ce  0.0000  0.0000  0.0000 x3
Tl  0.0000  0.0000  0.5000 x3
Pd  0.0811  0.5406  0.3825 x18

Properties
- formation enthalpy at 0 K (eV per atom) = -0.143
- E_tot (eV per atom) = -5.075
- polymorph energy (0 for the lowest one) (eV per atom) = 0.409

# 5
Material: MnPd3Au3
Method: DFT, GGA-PBE
State: optimized geometry

Cell lengths 7.7086, 8.4150, 7.5853 Å; angles 90.00, 90.00, 90.00 degrees
Space group Cmmm (No. 65)
Inequivalent atoms, fractional coordinates:
Mn  0.0000  0.2311  0.0000 x4
Pd  0.0000  0.0000  0.2339 x4
Pd  0.2500  0.2500  0.2362 x8
Au  0.0000  0.2493  0.5000 x4
Au  0.2025  0.5000  0.0000 x4
Au  0.2370  0.5000  0.5000 x4

Properties
- formation enthalpy at 0 K (eV per atom) = -0.038
- E_tot (eV per atom) = -4.978
- polymorph energy (0 for the lowest one) (eV per atom) = 0.000

# 6
Material: CeDyHo3
Method: DFT, GGA-PBE
State: optimized geometry

Cell lengths 9.9803, 3.5169, 17.6138 Å; angles 90.00, 90.00, 90.00 degrees
Space group Pnma (No. 62)
Inequivalent atoms, fractional coordinates:
Ce  0.1256  0.2500  0.1515 x4
Dy  0.1281  0.2500  0.5490 x4
Ho  0.1214  0.2500  0.9498 x4
Ho  0.1238  0.2500  0.3492 x4
Ho  0.1252  0.2500  0.7503 x4

Properties
- formation enthalpy at 0 K (eV per atom) = 0.054
- E_tot (eV per atom) = -4.800
- polymorph energy (0 for the lowest one) (eV per atom) = 0.000

> Which value of E_tot does entry 2 give?

-7.268 eV per atom

> Which of these has the highest E_tot?

BaIBr3